A geometry-optimized Mn3RhO6 structure, computed with GGA+U.

Properties
D(E_F), states/eV per atom: 0.32
Uncorrected energy, eV per cell: -144.96
Symmetry: No. 14
Crystal system: monoclinic
Spin magnetization, μB per atom: 1.200
Excess energy over the best structure of this formula in the dataset, meV per atom: 38

Unit cell a=5.101 b=5.260 c=8.053 alpha=90.00 beta=89.51 gamma=90.00
Last column: magnetic moment on the atom in μB.
Fractional coordinates of all 20 atoms:
Mn1 0.513 0.941 0.782  4.23
Mn2 0.500 0.500 0.000  4.00
Mn3 0.487 0.059 0.218  4.23
Mn4 0.013 0.559 0.282  4.23
Mn5 0.000 0.000 0.500  4.00
Mn6 0.987 0.441 0.718  4.23
Rh1 0.500 0.500 0.500  -0.31
Rh2 0.000 0.000 0.000  -0.31
O1 0.667 0.186 0.946  -0.06
O2 0.701 0.198 0.603  -0.08
O3 0.650 0.398 0.275  -0.11
O4 0.350 0.602 0.725  -0.11
O5 0.299 0.802 0.397  -0.08
O6 0.333 0.814 0.054  -0.06
O7 0.167 0.314 0.446  -0.06
O8 0.201 0.302 0.103  -0.08
O9 0.150 0.102 0.775  -0.11
O10 0.850 0.898 0.225  -0.11
O11 0.799 0.698 0.897  -0.08
O12 0.833 0.686 0.554  -0.06